PBE SmSO, relaxed; density of states at the Fermi level = 0.835 states/eV per atom; total magnetic moment = 0.831 μB/cell; E_tot = -40.3 eV per cell
1.0
-1.592 1.988 3.129
-3.757 -0.827 1.214
1.029 -5.137 6.388
O Sm S
2 2 2
Direct
0.630 0.630 0.110 O
0.370 0.370 0.890 O
0.728 0.728 0.817 Sm
0.272 0.272 0.183 Sm
0.862 0.862 0.413 S
0.138 0.138 0.587 S

PBE RbPuHgI6, relaxed; density of states at the Fermi level = 1.459 states/eV per atom; total magnetic moment = 10.000 μB/cell; E_tot = -65.4 eV per cell
1.0
-5.593 -3.115 -4.894
7.136 2.277 -2.970
5.790 -14.632 2.696
I Hg Pu Rb
12 2 2 2
Direct
0.374 0.375 0.861 I
0.625 0.999 0.861 I
0.375 0.374 0.361 I
0.001 0.375 0.639 I
0.374 0.999 0.639 I
0.001 0.626 0.861 I
0.999 0.374 0.139 I
0.999 0.625 0.361 I
0.375 0.001 0.139 I
0.626 0.001 0.361 I
0.626 0.625 0.139 I
0.625 0.626 0.639 I
0.667 0.333 0.250 Hg
0.333 0.667 0.750 Hg
0.333 0.667 0.250 Pu
0.667 0.333 0.750 Pu
0.000 0.000 0.000 Rb
0.000 0.000 0.500 Rb

PBE Sn3HgO, relaxed; polymorph energy (0 for the lowest one) = 1170 meV/atom; density of states at the Fermi level = 0.883 states/eV per atom; total magnetic moment = 0.000 μB/cell; E_tot = -12.4 eV per cell
1.0
-2.583 0.423 4.874
-2.986 -4.503 -1.191
3.876 -3.187 2.331
Sn Hg O
3 1 1
Direct
0.000 0.000 0.500 Sn
0.000 0.500 0.000 Sn
0.500 0.000 0.000 Sn
0.000 0.000 0.000 Hg
0.500 0.500 0.500 O